This record from Alexandria via LeMat-Bulk describes a geometry-optimized Na3AlBi3 structure. The functional is PBE.

Cell: 7.1934 7.1934 8.7127 Å, 90.80 90.80 92.30°
Fractional coordinates of all 14 atoms:
Na1 0.1602 0.8398 0.0000
Na2 0.2799 0.7201 0.5000
Na3 0.4009 0.4009 0.1338
Na4 0.5991 0.5991 0.8662
Na5 0.7201 0.2799 0.5000
Na6 0.8398 0.1602 0.0000
Al1 0.1343 0.1343 0.6341
Al2 0.8657 0.8657 0.3659
Bi1 0.1370 0.4662 0.8016
Bi2 0.1423 0.1423 0.3144
Bi3 0.4662 0.1370 0.8016
Bi4 0.5338 0.8630 0.1984
Bi5 0.8577 0.8577 0.6856
Bi6 0.8630 0.5338 0.1984

Calculated values
**Formation energy**: -0.16 eV per atom
**E_tot**: -0.10728 hartree per atom